Entry 1:
Material: BaNa2Si2O6
Method: DFT, PBE
State: optimized geometry

The structure in POSCAR format:
```
BaNa2Si2O6
1.0
4.8382 0.0000 0.0000
0.0000 5.8012 -0.0139
0.0000 0.2642 11.5028
O Na Si Ba
12 4 4 2
Direct
0.6253 0.8279 0.7550
0.1280 0.7485 0.6809
0.7259 0.9874 0.1255
0.7802 0.4542 0.1164
0.6280 0.2515 0.3191
0.1253 0.1721 0.2450
0.7363 0.7769 0.5229
0.2363 0.2231 0.4771
0.7515 0.4054 0.6776
0.2515 0.5946 0.3224
0.2259 0.0126 0.8745
0.2802 0.5458 0.8836
0.7578 0.1814 0.5139
0.2550 0.3073 0.6756
0.2578 0.8186 0.4861
0.7550 0.6927 0.3244
0.8037 0.2194 0.1946
0.7952 0.6801 0.6531
0.3037 0.7806 0.8054
0.2952 0.3199 0.3469
0.2400 0.7487 0.0976
0.7400 0.2513 0.9024
```

Entry 2:
Material: Ba3NaSi2O8
Method: DFT, PBE
State: optimized geometry

The structure in POSCAR format:
```
Ba3NaSi2O8
1.0
5.8374 0.0000 0.0000
-2.9187 5.0553 0.0000
0.0000 0.0000 7.4877
O Si Ba Na
8 2 3 1
Direct
0.6667 0.3333 0.9992
0.6377 0.8189 0.2994
0.1811 0.8189 0.2994
0.1811 0.3623 0.2994
0.3623 0.1811 0.7006
0.3333 0.6667 0.0008
0.8189 0.6377 0.7006
0.8189 0.1811 0.7006
0.6667 0.3333 0.7814
0.3333 0.6667 0.2186
0.3333 0.6667 0.6597
0.6667 0.3333 0.3403
0.0000 0.0000 0.0000
0.0000 0.0000 0.5000
```

Let's list formation energy (no corrections) in order: -2625.3 -2676.7 meV/atom.
Let's list raw total energy in order: -6.730 -6.791 eV/atom.